# PBEsol HfSiW3, optimized geometry
# **Distance to the lowest polymorph of the same formula**: 0 meV per atom
# **Final energy**: -53.00 eV for the cell shown
# **Uncorrected formation energy**: 0.935 eV per atom
data_HfSiW3
_cell_length_a 4.4859
_cell_length_b 4.4859
_cell_length_c 4.4859
_cell_angle_alpha 90.00
_cell_angle_beta 90.00
_cell_angle_gamma 90.00
_symmetry_space_group_name_H-M 'P m -3 m'
_symmetry_Int_Tables_number 221
_symmetry_space_group_name_Hall '-P 4 2 3'
loop_
_atom_site_label
_atom_site_fract_x
_atom_site_fract_y
_atom_site_fract_z
Hf1 0.0000 0.0000 0.0000
Si1 0.5000 0.5000 0.5000
W1 0.0000 0.5000 0.5000